PBEsol TlAg2Au2, optimized geometry; density of states at the Fermi level = 3.3 states/eV/cell; magnetic moment = 0.00 μB/f.u.; DFT formation energy = 3.3 kJ/mol of atoms
1.0
3.0114 0.0000 0.0000
0.0000 7.9537 0.0000
0.0000 0.0000 7.9537
Tl Ag Au
2 4 4
Direct
0.0000 0.0000 0.0000
0.0000 0.5000 0.5000
0.5000 0.1678 0.6678
0.5000 0.6678 0.8322
0.5000 0.8322 0.3322
0.5000 0.3322 0.1678
0.0000 0.6284 0.1284
0.0000 0.8716 0.6284
0.0000 0.3716 0.8716
0.0000 0.1284 0.3716